! PBE YZr2ScSb2, optimized geometry; values from VASP
! energy: -7.13 eV/atom
&SYSTEM
  ibrav = 0, nat = 6, ntyp = 4
/
ATOMIC_SPECIES
Sc 44.96 Sc.upf
Zr 91.22 Zr.upf
Sb 121.76 Sb.upf
Y 88.91 Y.upf
ATOMIC_POSITIONS angstrom
Sc 0.0000 0.0000 11.0135
Zr 0.0000 2.1106 0.0279
Sb 0.0000 0.0000 2.2254
Zr 2.1106 0.0000 0.0279
Y 0.0000 0.0000 5.2582
Sb 0.0000 0.0000 14.1063
CELL_PARAMETERS angstrom
-2.1106 2.1106 8.1648
2.1106 -2.1106 8.1648
2.1106 2.1106 -8.1648


! PBE TaRe, optimized geometry; values from VASP
! DFT formation energy: -0.081 eV/atom
! energy: -12.22 eV/atom
&SYSTEM
  ibrav = 0, nat = 24, ntyp = 2
/
ATOMIC_SPECIES
Re 186.21 Re.upf
Ta 180.95 Ta.upf
ATOMIC_POSITIONS angstrom
Re -2.1112 1.5074 0.4505
Re 0.3313 -4.1834 7.8562
Ta -2.8183 -0.2037 2.8625
Ta -0.9807 -4.5345 10.5767
Ta -1.6464 -2.8267 1.7427
Ta -1.3314 -3.6347 5.9225
Ta -0.7415 -5.1482 13.7509
Re -2.4077 -1.0653 -0.0245
Ta -1.9134 -2.5252 14.8707
Re -0.2965 -2.5727 -0.4750
Ta -2.5791 -0.8174 6.0367
Re -0.5484 -1.9654 4.0063
Re -2.7021 -0.7021 13.1027
Ta 0.5086 -1.3047 6.7489
Ta 0.7471 -1.9165 9.9135
Re -1.4834 -0.1032 8.7817
Re -0.8578 -4.6498 3.5107
Re -3.0606 -3.0769 3.9807
Ta -2.2284 -1.7172 10.6909
Ta 1.1364 -2.9154 15.0801
Re -1.7799 -2.6759 8.3067
Ta 0.1192 -0.3059 1.5823
Re -0.4992 -2.2750 12.6326
Re -3.0114 -3.3865 12.6071
CELL_PARAMETERS angstrom
-4.2224 3.0149 0.9010
-0.5930 -5.1455 -0.9501
1.2556 -3.2213 16.6624


Which value of energy does entry 1 give?
-7.13 eV/atom


energy of number 1 (YZr2ScSb2)?
-7.13 eV/atom


What did the first record say?
! PBE YZr2ScSb2, optimized geometry; values from VASP
! energy: -7.13 eV/atom
&SYSTEM
  ibrav = 0, nat = 6, ntyp = 4
/
ATOMIC_SPECIES
Sc 44.96 Sc.upf
Zr 91.22 Zr.upf
Sb 121.76 Sb.upf
Y 88.91 Y.upf
ATOMIC_POSITIONS angstrom
Sc 0.0000 0.0000 11.0135
Zr 0.0000 2.1106 0.0279
Sb 0.0000 0.0000 2.2254
Zr 2.1106 0.0000 0.0279
Y 0.0000 0.0000 5.2582
Sb 0.0000 0.0000 14.1063
CELL_PARAMETERS angstrom
-2.1106 2.1106 8.1648
2.1106 -2.1106 8.1648
2.1106 2.1106 -8.1648


Among the records above, which one has the highest energy?
YZr2ScSb2